No. 1
Ca2SiGeBr (GGA-PBE, optimized geometry); E_form (uncorrected) = 11.6 kJ per mole of atoms; M_tot = 0.00 μB per formula unit
1.0
5.436 0.000 0.000
0.000 5.436 0.000
0.000 0.000 5.155
Ca Si Ge Br
2 1 1 1
direct
0.000 0.500 0.000
0.500 0.000 0.000
0.000 0.000 0.500
0.500 0.500 0.500
0.500 0.500 0.000

***

No. 2
CaSnGeBr6 (GGA-PBE, optimized geometry); E_form (uncorrected) = -105.2 kJ per mole of atoms; M_tot = 0.00 μB per formula unit
1.0
6.890 0.000 0.000
0.000 6.890 0.000
0.000 0.000 13.082
Ca Sn Ge Br
2 2 2 12
direct
0.000 0.000 0.000
0.500 0.500 0.500
0.000 0.000 0.332
0.500 0.500 0.832
0.000 0.000 0.668
0.500 0.500 0.168
0.191 0.191 0.827
0.199 0.199 0.507
0.206 0.206 0.163
0.294 0.706 0.663
0.301 0.699 0.007
0.309 0.691 0.327
0.691 0.309 0.327
0.699 0.301 0.007
0.706 0.294 0.663
0.794 0.794 0.163
0.801 0.801 0.507
0.809 0.809 0.827

***

No. 3
Ca2TiGeBr (GGA-PBE, optimized geometry); E_form (uncorrected) = 0.0 kJ per mole of atoms; M_tot = 2.45 μB per formula unit
1.0
5.433 0.000 0.000
0.000 5.433 0.000
0.000 0.000 4.790
Ca Ti Ge Br
2 1 1 1
direct
0.000 0.500 0.000
0.500 0.000 0.000
0.000 0.000 0.500
0.500 0.500 0.500
0.000 0.000 0.000

***

No. 4
CaTl2GeBr6 (GGA-PBE, optimized geometry); E_form (uncorrected) = -106.6 kJ per mole of atoms; M_tot = 0.00 μB per formula unit
1.0
3.940 2.275 6.525
-3.940 2.275 6.525
0.000 -4.549 6.525
Ca Tl Ge Br
1 2 1 6
direct
0.000 0.000 0.000
0.283 0.283 0.283
0.780 0.780 0.780
0.500 0.500 0.500
0.170 0.732 0.334
0.241 0.662 0.827
0.334 0.170 0.732
0.662 0.827 0.241
0.732 0.334 0.170
0.827 0.241 0.662

***

No. 5
CaHBr2 (GGA-PBE, optimized geometry); energy = -3.16 eV per atom; M_tot = 0.00 μB per formula unit
1.0
4.233 0.000 0.000
0.000 4.493 0.000
-2.092 0.000 5.103
Ca H Br
1 1 2
direct
0.000 0.000 0.000
0.068 0.500 0.127
0.298 0.000 0.594
0.580 0.500 0.152

***

No. 6
CaH2Br (GGA-PBE, optimized geometry); polymorph energy (0 for the lowest one) = 0 meV per atom; M_tot = 0.00 μB per formula unit
1.0
-2.055 2.055 8.534
2.055 -2.055 8.534
2.055 2.055 -8.534
Ca H Br
2 4 2
direct
0.375 0.625 0.750
0.625 0.375 0.250
0.000 0.500 0.500
0.500 0.000 0.000
0.500 0.500 0.000
0.500 0.500 0.500
0.125 0.875 0.250
0.875 0.125 0.750

***

No. 7
CaHBr2 (GGA-PBE, optimized geometry); energy = -3.08 eV per atom; M_tot = 0.00 μB per formula unit
1.0
4.268 0.000 0.000
2.131 3.895 0.000
2.110 0.972 6.171
Ca H Br
1 1 2
direct
0.000 0.000 0.000
0.478 0.070 0.974
0.200 0.322 0.280
0.792 0.688 0.727

***

No. 8
Ca2HBr (GGA-PBE, optimized geometry); polymorph energy (0 for the lowest one) = 448 meV per atom; M_tot = 0.00 μB per formula unit
1.0
0.000 3.669 3.669
3.669 0.000 3.669
3.669 3.669 0.000
Ca H Br
2 1 1
direct
0.250 0.250 0.250
0.750 0.750 0.750
0.000 0.000 0.000
0.500 0.500 0.500

***

No. 9
CaH3Br (GGA-PBE, optimized geometry); polymorph energy (0 for the lowest one) = 0 meV per atom; M_tot = 1.54 μB per formula unit
1.0
4.198 0.000 0.000
0.000 4.198 0.000
0.000 0.000 4.198
Ca H Br
1 3 1
direct
0.000 0.000 0.000
0.000 0.000 0.500
0.000 0.500 0.000
0.500 0.000 0.000
0.500 0.500 0.500

***

No. 10
CaHBr2 (GGA-PBE, optimized geometry); energy = -3.14 eV per atom; M_tot = 0.00 μB per formula unit
1.0
4.531 0.000 0.000
0.000 5.440 0.000
0.000 0.000 4.373
Ca H Br
1 1 2
direct
0.000 0.000 0.000
0.500 0.000 0.051
0.000 0.500 0.137
0.500 0.000 0.543

***

No. 11
Ca2HBr (GGA-PBE, optimized geometry); polymorph energy (0 for the lowest one) = 42 meV per atom; M_tot = 0.00 μB per formula unit
1.0
-3.577 3.577 3.818
3.577 -3.577 3.818
3.577 3.577 -3.818
Ca H Br
4 2 2
direct
0.046 0.125 0.421
0.375 0.954 0.079
0.704 0.625 0.579
0.875 0.296 0.921
0.000 0.000 0.000
0.750 0.250 0.500
0.250 0.750 0.500
0.500 0.500 0.000

***

No. 12
Ca2HBr3 (GGA-PBE, optimized geometry); energy = -3.68 eV per atom; M_tot = 0.00 μB per formula unit
1.0
8.025 -2.167 0.000
8.025 2.167 0.000
-4.611 0.000 9.770
Ca H Br
4 2 6
direct
0.097 0.097 0.445
0.358 0.358 0.183
0.642 0.642 0.817
0.903 0.903 0.555
0.064 0.064 0.637
0.936 0.936 0.363
0.154 0.154 0.000
0.282 0.282 0.382
0.449 0.449 0.751
0.551 0.551 0.249
0.718 0.718 0.618
0.846 0.846 0.000

***

No. 13
CaHBr2 (GGA-PBE, optimized geometry); energy = -3.06 eV per atom; M_tot = 0.00 μB per formula unit
1.0
4.039 -2.711 0.000
4.039 2.711 0.000
-1.519 0.000 4.367
Ca H Br
1 1 2
direct
0.000 0.000 0.000
0.000 0.000 0.500
0.305 0.305 0.774
0.695 0.695 0.226

***

No. 14
Ca3HBr (GGA-PBE, optimized geometry); polymorph energy (0 for the lowest one) = 0 meV per atom; M_tot = 0.00 μB per formula unit
1.0
5.195 0.000 0.000
0.000 5.195 0.000
0.000 0.000 5.195
Ca H Br
3 1 1
direct
0.000 0.000 0.500
0.000 0.500 0.000
0.500 0.000 0.000
0.000 0.000 0.000
0.500 0.500 0.500

***

No. 15
CaHBr2 (GGA-PBE, optimized geometry); energy = -3.07 eV per atom; M_tot = 1.00 μB per formula unit
1.0
0.000 3.596 3.596
3.596 0.000 3.596
3.596 3.596 0.000
Ca H Br
1 1 2
direct
0.000 0.000 0.000
0.500 0.500 0.500
0.250 0.250 0.250
0.750 0.750 0.750

***

No. 16
CaHBr2 (GGA-PBE, optimized geometry); energy = -3.02 eV per atom; M_tot = 1.00 μB per formula unit
1.0
-3.833 3.833 5.806
3.833 -3.833 5.806
3.833 3.833 -5.806
Ca H Br
2 2 4
direct
0.000 0.000 0.000
0.750 0.250 0.500
0.250 0.750 0.500
0.500 0.500 0.000
0.057 0.625 0.932
0.375 0.307 0.432
0.693 0.125 0.068
0.875 0.943 0.568

***

No. 17
CaHBr2 (GGA-PBE, optimized geometry); energy = -3.14 eV per atom; M_tot = 0.00 μB per formula unit
1.0
4.396 0.000 0.000
0.000 2.017 5.370
0.000 -2.017 5.370
Ca H Br
1 1 2
direct
0.000 0.000 0.000
0.000 0.407 0.407
0.000 0.695 0.695
0.500 0.411 0.411

***

No. 18
CaH3Br (GGA-PBE, optimized geometry); polymorph energy (0 for the lowest one) = 307 meV per atom; M_tot = 0.00 μB per formula unit
1.0
4.179 0.000 0.000
0.000 4.179 0.000
0.000 0.000 4.179
Ca H Br
1 3 1
direct
0.000 0.000 0.000
0.000 0.500 0.500
0.500 0.000 0.500
0.500 0.500 0.000
0.500 0.500 0.500

***

No. 19
Ca2HBr (GGA-PBE, optimized geometry); polymorph energy (0 for the lowest one) = 0 meV per atom; M_tot = 0.00 μB per formula unit
1.0
1.923 1.110 7.314
-1.923 1.110 7.314
0.000 -2.221 7.314
Ca H Br
2 1 1
direct
0.230 0.230 0.230
0.770 0.770 0.770
0.500 0.500 0.500
0.000 0.000 0.000

***

No. 20
CaHBr2 (GGA-PBE, optimized geometry); energy = -3.15 eV per atom; M_tot = 1.00 μB per formula unit
1.0
2.139 1.235 9.963
-2.139 1.235 9.963
0.000 -2.470 9.963
Ca H Br
1 1 2
direct
0.000 0.000 0.000
0.500 0.500 0.500
0.386 0.386 0.386
0.614 0.614 0.614

***

No. 21
CaHBr2 (GGA-PBE, optimized geometry); energy = -3.22 eV per atom; M_tot = 0.22 μB per formula unit
1.0
4.319 0.000 0.000
2.150 3.748 0.000
1.529 0.879 6.890
Ca H Br
1 1 2
direct
0.000 0.000 0.000
0.694 0.239 0.753
0.279 0.283 0.221
0.708 0.731 0.756

***

No. 22
Ca2HBr2 (GGA-PBE, optimized geometry); energy = -2.62 eV per atom; M_tot = 0.73 μB per formula unit
1.0
4.704 0.000 0.000
0.000 4.704 0.000
0.000 0.000 13.372
Ca H Br
2 1 2
direct
0.000 0.000 0.158
0.000 0.000 0.842
0.000 0.000 0.000
0.000 0.000 0.348
0.000 0.000 0.652

***

No. 23
CaHBr2 (GGA-PBE, optimized geometry); energy = -3.22 eV per atom; M_tot = 0.13 μB per formula unit
1.0
3.742 -2.157 0.000
3.742 2.157 0.000
-0.146 0.000 6.825
Ca H Br
1 1 2
direct
0.000 0.000 0.000
0.823 0.823 0.249
0.330 0.330 0.247
0.662 0.662 0.776

***

No. 24
Ca4HBr2 (GGA-PBE, optimized geometry); energy = -2.77 eV per atom; M_tot = 0.00 μB per formula unit
1.0
-2.291 2.291 10.490
2.291 -2.291 10.490
2.291 2.291 -10.490
Ca H Br
4 1 2
direct
0.000 0.500 0.500
0.158 0.158 0.000
0.500 0.000 0.500
0.842 0.842 0.000
0.000 0.000 0.000
0.300 0.300 0.000
0.700 0.700 0.000

***

No. 25
CaH2Br (GGA-PBE, optimized geometry); polymorph energy (0 for the lowest one) = 147 meV per atom; M_tot = 0.00 μB per formula unit
1.0
0.000 3.083 3.083
3.083 0.000 3.083
3.083 3.083 0.000
Ca H Br
1 2 1
direct
0.000 0.000 0.000
0.250 0.250 0.250
0.750 0.750 0.750
0.500 0.500 0.500

***

No. 26
KCaH2Br (GGA-PBE, optimized geometry); energy = -3.16 eV per atom; M_tot = 0.00 μB per formula unit
1.0
4.550 0.000 0.000
0.000 4.550 0.000
0.000 0.000 5.841
K Ca H Br
1 1 2 1
direct
0.000 0.000 0.000
0.500 0.500 0.500
0.000 0.500 0.500
0.500 0.000 0.500
0.500 0.500 0.000

***

No. 27
KCaHBr2 (GGA-PBE, optimized geometry); energy = -3.37 eV per atom; M_tot = 0.00 μB per formula unit
1.0
5.808 0.000 0.000
0.000 5.808 0.000
0.000 0.000 4.336
K Ca H Br
1 1 1 2
direct
0.000 0.000 0.000
0.500 0.500 0.500
0.500 0.500 0.000
0.000 0.500 0.500
0.500 0.000 0.500